[1]
# CoAgSeO | OQMD | PBE+U | optimized geometry
# energy above the most stable polymorph in this dataset = 12.98 kJ per mole of atoms
# uncorrected energy = -4.362 eV/atom
# total magnetization = 0.751 μB/atom
data_CoAgSeO
_cell_length_a 5.789
_cell_length_b 6.929
_cell_length_c 7.537
_cell_angle_alpha 90.00
_cell_angle_beta 90.00
_cell_angle_gamma 90.00
_symmetry_space_group_name_H-M 'P 1'
_symmetry_Int_Tables_number 1
_symmetry_space_group_name_Hall 'P 1'
loop_
_atom_site_label
_atom_site_type_symbol
_atom_site_fract_x
_atom_site_fract_y
_atom_site_fract_z
Co1 Co 0.152 0.222 0.099
Co2 Co 0.348 0.778 0.599
Co3 Co 0.652 0.278 0.901
Co4 Co 0.848 0.722 0.401
Ag1 Ag 0.199 0.382 0.678
Ag2 Ag 0.301 0.618 0.178
Ag3 Ag 0.699 0.118 0.322
Ag4 Ag 0.801 0.882 0.822
Se1 Se 0.013 0.394 0.368
Se2 Se 0.487 0.606 0.868
Se3 Se 0.513 0.106 0.632
Se4 Se 0.987 0.894 0.132
O1 O 0.031 0.798 0.590
O2 O 0.469 0.202 0.090
O3 O 0.531 0.702 0.410
O4 O 0.969 0.298 0.910

[2]
# CoAgTeO | OQMD | PBE+U | optimized geometry
# energy above the most stable polymorph in this dataset = 4.66 kJ per mole of atoms
# uncorrected energy = -4.321 eV/atom
# total magnetization = 0.655 μB/atom
data_CoAgTeO
_cell_length_a 5.951
_cell_length_b 8.575
_cell_length_c 5.672
_cell_angle_alpha 90.00
_cell_angle_beta 90.00
_cell_angle_gamma 90.00
_symmetry_space_group_name_H-M 'P 1'
_symmetry_Int_Tables_number 1
_symmetry_space_group_name_Hall 'P 1'
loop_
_atom_site_label
_atom_site_type_symbol
_atom_site_fract_x
_atom_site_fract_y
_atom_site_fract_z
Co1 Co 0.124 0.045 0.000
Co2 Co 0.376 0.045 0.500
Co3 Co 0.624 0.955 0.000
Co4 Co 0.876 0.955 0.500
Ag1 Ag 0.072 0.678 0.805
Ag2 Ag 0.428 0.678 0.305
Ag3 Ag 0.572 0.322 0.805
Ag4 Ag 0.928 0.322 0.305
Te1 Te 0.066 0.339 0.803
Te2 Te 0.434 0.339 0.303
Te3 Te 0.566 0.661 0.803
Te4 Te 0.934 0.661 0.303
O1 O 0.143 0.949 0.696
O2 O 0.357 0.949 0.196
O3 O 0.643 0.051 0.696
O4 O 0.857 0.051 0.196

[3]
# CoAgTeO | OQMD | PBE+U | optimized geometry
# energy above the most stable polymorph in this dataset = 0.00 kJ per mole of atoms
# uncorrected energy = -4.370 eV/atom
# total magnetization = 0.687 μB/atom
data_CoAgTeO
_cell_length_a 3.933
_cell_length_b 3.933
_cell_length_c 9.692
_cell_angle_alpha 90.00
_cell_angle_beta 90.00
_cell_angle_gamma 90.00
_symmetry_space_group_name_H-M 'P 1'
_symmetry_Int_Tables_number 1
_symmetry_space_group_name_Hall 'P 1'
loop_
_atom_site_label
_atom_site_type_symbol
_atom_site_fract_x
_atom_site_fract_y
_atom_site_fract_z
Co1 Co 0.250 0.250 0.044
Co2 Co 0.750 0.750 0.956
Ag1 Ag 0.250 0.250 0.625
Ag2 Ag 0.750 0.750 0.375
Te1 Te 0.250 0.250 0.318
Te2 Te 0.750 0.750 0.682
O1 O 0.250 0.750 0.000
O2 O 0.750 0.250 0.000

[4]
# CoAgTeO | OQMD | PBE+U | optimized geometry
# energy above the most stable polymorph in this dataset = 42.36 kJ per mole of atoms
# uncorrected energy = -3.930 eV/atom
# total magnetization = 0.749 μB/atom
data_CoAgTeO
_cell_length_a 4.925
_cell_length_b 4.925
_cell_length_c 6.708
_cell_angle_alpha 90.00
_cell_angle_beta 90.00
_cell_angle_gamma 90.00
_symmetry_space_group_name_H-M 'P 1'
_symmetry_Int_Tables_number 1
_symmetry_space_group_name_Hall 'P 1'
loop_
_atom_site_label
_atom_site_type_symbol
_atom_site_fract_x
_atom_site_fract_y
_atom_site_fract_z
Co1 Co 0.250 0.250 0.171
Co2 Co 0.750 0.750 0.829
Ag1 Ag 0.250 0.250 0.736
Ag2 Ag 0.750 0.750 0.264
Te1 Te 0.250 0.750 0.000
Te2 Te 0.750 0.250 0.000
O1 O 0.250 0.250 0.423
O2 O 0.750 0.750 0.577

[5]
# CoAgTeO | OQMD | PBE+U | optimized geometry
# energy above the most stable polymorph in this dataset = 4.28 kJ per mole of atoms
# uncorrected energy = -4.325 eV/atom
# total magnetization = 0.721 μB/atom
data_CoAgTeO
_cell_length_a 3.999
_cell_length_b 3.999
_cell_length_c 10.562
_cell_angle_alpha 90.00
_cell_angle_beta 90.00
_cell_angle_gamma 90.00
_symmetry_space_group_name_H-M 'P 1'
_symmetry_Int_Tables_number 1
_symmetry_space_group_name_Hall 'P 1'
loop_
_atom_site_label
_atom_site_type_symbol
_atom_site_fract_x
_atom_site_fract_y
_atom_site_fract_z
Co1 Co 0.250 0.250 0.011
Co2 Co 0.750 0.750 0.989
Ag1 Ag 0.250 0.750 0.500
Ag2 Ag 0.750 0.250 0.500
Te1 Te 0.250 0.250 0.691
Te2 Te 0.750 0.750 0.309
O1 O 0.250 0.750 0.000
O2 O 0.750 0.250 0.000

[6]
# CoAgTeO | OQMD | PBE+U | optimized geometry
# energy above the most stable polymorph in this dataset = 15.82 kJ per mole of atoms
# uncorrected energy = -4.206 eV/atom
# total magnetization = 0.501 μB/atom
data_CoAgTeO
_cell_length_a 5.778
_cell_length_b 7.191
_cell_length_c 7.816
_cell_angle_alpha 90.00
_cell_angle_beta 90.00
_cell_angle_gamma 90.00
_symmetry_space_group_name_H-M 'P 1'
_symmetry_Int_Tables_number 1
_symmetry_space_group_name_Hall 'P 1'
loop_
_atom_site_label
_atom_site_type_symbol
_atom_site_fract_x
_atom_site_fract_y
_atom_site_fract_z
Co1 Co 0.216 0.248 0.007
Co2 Co 0.284 0.752 0.507
Co3 Co 0.716 0.252 0.993
Co4 Co 0.784 0.748 0.493
Ag1 Ag 0.215 0.848 0.093
Ag2 Ag 0.285 0.152 0.593
Ag3 Ag 0.715 0.652 0.907
Ag4 Ag 0.785 0.348 0.407
Te1 Te 0.044 0.489 0.666
Te2 Te 0.456 0.511 0.166
Te3 Te 0.544 0.011 0.334
Te4 Te 0.956 0.989 0.834
O1 O 0.037 0.801 0.370
O2 O 0.463 0.199 0.870
O3 O 0.537 0.699 0.630
O4 O 0.963 0.301 0.130

[7]
# CoAgTeO | OQMD | PBE+U | optimized geometry
# energy above the most stable polymorph in this dataset = 12.92 kJ per mole of atoms
# uncorrected energy = -4.236 eV/atom
# total magnetization = 0.670 μB/atom
data_CoAgTeO
_cell_length_a 6.781
_cell_length_b 3.162
_cell_length_c 14.074
_cell_angle_alpha 90.00
_cell_angle_beta 90.00
_cell_angle_gamma 90.00
_symmetry_space_group_name_H-M 'P 1'
_symmetry_Int_Tables_number 1
_symmetry_space_group_name_Hall 'P 1'
loop_
_atom_site_label
_atom_site_type_symbol
_atom_site_fract_x
_atom_site_fract_y
_atom_site_fract_z
Co1 Co 0.203 0.250 0.082
Co2 Co 0.297 0.750 0.582
Co3 Co 0.703 0.250 0.418
Co4 Co 0.797 0.750 0.918
Ag1 Ag 0.049 0.750 0.265
Ag2 Ag 0.451 0.250 0.765
Ag3 Ag 0.549 0.750 0.235
Ag4 Ag 0.951 0.250 0.735
Te1 Te 0.206 0.750 0.914
Te2 Te 0.294 0.250 0.414
Te3 Te 0.706 0.750 0.586
Te4 Te 0.794 0.250 0.086
O1 O 0.223 0.250 0.652
O2 O 0.277 0.750 0.152
O3 O 0.723 0.250 0.848
O4 O 0.777 0.750 0.348

[8]
# CoAgTeO | OQMD | PBE+U | optimized geometry
# energy above the most stable polymorph in this dataset = 15.02 kJ per mole of atoms
# uncorrected energy = -4.214 eV/atom
# total magnetization = 0.692 μB/atom
data_CoAgTeO
_cell_length_a 6.511
_cell_length_b 11.772
_cell_length_c 8.217
_cell_angle_alpha 90.00
_cell_angle_beta 90.00
_cell_angle_gamma 90.00
_symmetry_space_group_name_H-M 'P 1'
_symmetry_Int_Tables_number 1
_symmetry_space_group_name_Hall 'P 1'
loop_
_atom_site_label
_atom_site_type_symbol
_atom_site_fract_x
_atom_site_fract_y
_atom_site_fract_z
Co1 Co 0.000 0.235 0.249
Co2 Co 0.000 0.265 0.749
Co3 Co 0.000 0.735 0.251
Co4 Co 0.000 0.765 0.751
Co5 Co 0.500 0.235 0.251
Co6 Co 0.500 0.265 0.751
Co7 Co 0.500 0.735 0.249
Co8 Co 0.500 0.765 0.749
Ag1 Ag 0.241 0.105 0.485
Ag2 Ag 0.241 0.395 0.985
Ag3 Ag 0.259 0.605 0.485
Ag4 Ag 0.259 0.895 0.985
Ag5 Ag 0.741 0.105 0.015
Ag6 Ag 0.741 0.395 0.515
Ag7 Ag 0.759 0.605 0.015
Ag8 Ag 0.759 0.895 0.515
Te1 Te 0.000 0.008 0.754
Te2 Te 0.000 0.492 0.254
Te3 Te 0.000 0.508 0.746
Te4 Te 0.000 0.992 0.246
Te5 Te 0.500 0.008 0.746
Te6 Te 0.500 0.492 0.246
Te7 Te 0.500 0.508 0.754
Te8 Te 0.500 0.992 0.254
O1 O 0.250 0.238 0.147
O2 O 0.250 0.262 0.647
O3 O 0.250 0.738 0.147
O4 O 0.250 0.762 0.647
O5 O 0.750 0.238 0.353
O6 O 0.750 0.262 0.853
O7 O 0.750 0.738 0.353
O8 O 0.750 0.762 0.853

[9]
# CoAgTeO | OQMD | PBE+U | optimized geometry
# energy above the most stable polymorph in this dataset = 13.20 kJ per mole of atoms
# uncorrected energy = -4.233 eV/atom
# total magnetization = 0.605 μB/atom
data_CoAgTeO
_cell_length_a 7.034
_cell_length_b 7.034
_cell_length_c 5.908
_cell_angle_alpha 90.00
_cell_angle_beta 90.00
_cell_angle_gamma 148.45
_symmetry_space_group_name_H-M 'P 1'
_symmetry_Int_Tables_number 1
_symmetry_space_group_name_Hall 'P 1'
loop_
_atom_site_label
_atom_site_type_symbol
_atom_site_fract_x
_atom_site_fract_y
_atom_site_fract_z
Co1 Co 0.053 0.947 0.500
Co2 Co 0.947 0.053 0.000
Ag1 Ag 0.341 0.659 0.629
Ag2 Ag 0.659 0.341 0.129
Te1 Te 0.326 0.674 0.142
Te2 Te 0.674 0.326 0.642
O1 O 0.059 0.941 0.180
O2 O 0.941 0.059 0.680